The following is a DFT calculation (GGA+U) of CoAuSO after structural relaxation. Values from VASP.

Quantum ESPRESSO input file:
```
&SYSTEM
  ibrav = 0, nat = 16, ntyp = 4
/
ATOMIC_SPECIES
Au 196.97 Au.upf
O 16.00 O.upf
Co 58.93 Co.upf
S 32.06 S.upf
CELL_PARAMETERS angstrom
6.787 0.000 0.000
0.000 7.250 0.000
0.000 0.000 5.646
ATOMIC_POSITIONS crystal
Au 0.976 0.148 0.555
O 0.502 0.127 0.646
O 0.998 0.127 0.146
O 0.002 0.873 0.646
O 0.498 0.873 0.146
Co 0.077 0.683 0.457
Au 0.476 0.852 0.555
S 0.624 0.446 0.093
S 0.376 0.554 0.593
S 0.876 0.446 0.593
Co 0.423 0.683 0.957
Co 0.923 0.317 0.957
Co 0.577 0.317 0.457
Au 0.524 0.148 0.055
S 0.124 0.554 0.093
Au 0.024 0.852 0.055
```

Calculated values
magnetization = 0.5010 μB per atom
offset from the most stable computed form = 180 meV per atom